No. 1
CsTaIn2F8: relaxed, PBE-GGA.

```
CsTaIn2F8
1.0
5.064 -0.232 0.005
-0.164 6.734 -0.002
0.019 0.020 8.445
F Cs In Ta
8 1 2 1
Cartesian
1.635 0.998 0.002
0.492 5.561 1.395
2.490 4.676 4.221
0.513 5.580 7.048
4.427 0.960 7.053
2.428 1.845 4.227
4.405 0.941 1.399
3.283 5.523 8.446
0.009 0.010 4.222
2.462 3.264 6.107
2.456 3.257 2.341
0.000 0.000 0.000
```

## Properties
SG ... P-1
Magnetization ... 0.000 μB/f.u.
Crystal system ... triclinic
Uncorrected formation energy ... -2707 meV per atom
ρ ... 4.02 Mg/m³
V ... 287.6 Å³/f.u.
Energy ... -65.637 eV per cell


No. 2
Ta2IF: relaxed, PBE-GGA.

```
Ta2IF
1.0
-1.761 -3.829 -1.869
-2.499 -2.888 2.583
-4.546 -0.353 -0.679
I F Ta
1 1 2
Cartesian
-4.403 -3.535 0.017
0.000 0.000 0.000
-2.202 -1.767 0.009
-6.605 -5.302 0.026
```

## Properties
SG ... Fm-3m
ΔE to the lowest computed polymorph ... 0.3352 eV/atom
Magnetization ... 0.000 μB/f.u.
Crystal system ... cubic
Uncorrected formation energy ... 528 meV per atom
ρ ... 12.17 Mg/m³
V ... 69.3 Å³/f.u.
Energy ... -25.015 eV per cell


No. 3
PaTi2Ga2: relaxed, PBE-GGA.

```
PaTi2Ga2
1.0
5.433 0.125 0.035
2.824 4.606 0.592
2.890 0.732 7.590
Ti Ga Pa
4 4 2
Cartesian
6.140 2.718 6.853
4.938 3.824 4.243
6.208 1.639 3.974
5.006 2.744 1.365
7.597 3.823 4.787
1.952 0.949 1.506
9.194 4.514 6.712
3.549 1.640 3.431
7.602 4.209 1.761
3.544 1.254 6.457
```

## Properties
SG ... C2/m
Magnetization ... 0.000 μB/f.u.
Energy of formation from the pure elements ... -0.29 eV per atom
Crystal system ... monoclinic
ρ ... 8.38 Mg/m³
V ... 92.4 Å³/f.u.
Energy ... -65.547 eV per cell


No. 4
LaPPt2: relaxed, PBE-GGA.

```
LaPPt2
1.0
5.177 -0.010 0.003
1.051 5.069 -0.003
-2.475 -3.316 3.110
Pt La P
2 1 1
Cartesian
0.257 0.209 0.000
3.147 -0.205 1.557
2.941 2.389 0.000
0.522 1.879 1.554
```

## Properties
SG ... Imm2
Magnetization ... 0.000 μB/f.u.
Energy of formation from the pure elements ... -0.80 eV per atom
Crystal system ... orthorhombic
ρ ... 11.39 Mg/m³
V ... 81.6 Å³/f.u.
Energy ... -25.609 eV per cell


No. 5
Tl5Hg4H2: relaxed, PBE-GGA.

```
Tl5Hg4H2
1.0
-2.042 0.313 -2.589
-5.242 -5.743 3.441
-12.170 -1.148 11.578
Tl Hg H
5 4 2
Cartesian
-13.632 -4.446 8.094
-9.449 -1.881 5.106
-5.823 -2.132 4.334
-1.021 0.156 -1.295
-10.005 -4.697 7.323
-3.245 -1.670 2.358
-10.876 -1.872 8.351
-8.578 -4.706 4.078
-16.209 -4.908 10.071
-6.283 -3.160 2.454
-13.171 -3.418 9.974
```

## Properties
SG ... C2/m
Magnetization ... 0.000 μB/f.u.
Crystal system ... monoclinic
ρ ... 10.14 Mg/m³
V ... 299.0 Å³/f.u.
Energy ... -17.982 eV per cell


No. 6
NdMgCu: relaxed, PBE-GGA.

```
NdMgCu
1.0
-2.314 -1.279 2.977
6.119 -0.103 4.713
-2.526 12.862 3.561
Nd Cu Mg
6 6 6
Cartesian
3.540 5.798 5.242
-0.991 12.284 4.505
3.365 9.558 6.721
0.054 6.961 3.032
0.229 3.201 1.553
4.585 0.475 3.769
3.152 6.878 8.067
-1.075 0.539 2.059
2.740 3.159 3.487
-1.873 4.603 3.184
2.354 10.942 9.192
0.853 9.600 4.787
-1.768 8.986 5.147
0.731 7.366 6.395
0.548 4.115 4.856
3.047 2.495 6.103
1.169 0.949 3.979
0.110 10.532 7.271
```

## Properties
SG ... Pmma
Magnetization ... 0.000 μB/f.u.
Energy of formation from the pure elements ... -0.18 eV per atom
Crystal system ... orthorhombic
ρ ... 5.54 Mg/m³
V ... 69.6 Å³/f.u.
Energy ... -65.928 eV per cell


No. 7
InAg2Pb: relaxed, PBE-GGA.

```
InAg2Pb
1.0
5.657 0.018 0.000
2.207 5.209 0.000
-3.932 -2.613 3.116
Ag Pb In
2 1 1
Cartesian
0.000 0.000 0.000
1.103 2.604 1.558
2.828 0.009 1.558
3.932 2.613 0.000
```

## Properties
SG ... I-4m2
Magnetization ... 0.000 μB/f.u.
Energy of formation from the pure elements ... 0.09 eV per atom
Crystal system ... tetragonal
ρ ... 9.74 Mg/m³
V ... 91.7 Å³/f.u.
Energy ... -11.783 eV per cell


No. 8
LiZr2W: relaxed, PBE-GGA.

```
LiZr2W
1.0
-1.810 0.485 -2.243
-1.550 -1.005 2.265
-1.435 9.399 3.191
W Zr Li
1 2 1
Cartesian
-2.756 6.789 2.404
-1.401 9.176 3.115
-0.752 4.922 1.671
-2.039 2.090 0.809
```

## Properties
SG ... Cmmm
Magnetization ... 0.000 μB/f.u.
Energy of formation from the pure elements ... 0.19 eV per atom
Crystal system ... orthorhombic
ρ ... 7.65 Mg/m³
V ... 81.1 Å³/f.u.
Energy ... -31.204 eV per cell


No. 9
TiV: relaxed, PBE-GGA.

```
TiV
1.0
-0.702 1.470 2.129
-4.396 -1.380 -0.496
0.902 -3.966 3.036
Ti V
2 2
Cartesian
-1.747 -2.673 1.270
-0.351 0.735 1.064
0.100 -1.248 2.583
-2.198 -0.690 -0.248
```

## Properties
SG ... Immm
Magnetization ... 0.000 μB/f.u.
Energy of formation from the pure elements ... 0.44 eV per atom
Crystal system ... orthorhombic
ρ ... 5.20 Mg/m³
V ... 31.5 Å³/f.u.
Energy ... -32.263 eV per cell


No. 10
Ac2TlZn3Pd4: relaxed, PBE-GGA.

```
Ac2TlZn3Pd4
1.0
-1.536 -3.556 2.261
3.929 -0.338 2.137
-3.684 6.555 7.810
Pd Ac Zn Tl
4 2 3 1
Cartesian
1.197 -1.947 2.199
-3.163 2.484 6.209
0.676 2.124 3.800
0.000 0.000 0.000
-0.864 4.864 7.064
-1.623 -0.256 2.944
-1.842 3.278 3.905
1.537 0.592 1.975
-4.024 4.017 8.034
-0.645 1.331 6.104
```

## Properties
SG ... P-4m2
Magnetization ... 0.000 μB/f.u.
Energy of formation from the pure elements ... -0.60 eV per atom
Crystal system ... tetragonal
ρ ... 9.75 Mg/m³
V ... 218.1 Å³/f.u.
Energy ... -41.145 eV per cell


No. 11
NiHSe2: relaxed, PBE-GGA.

```
NiHSe2
1.0
-1.282 -1.771 -3.060
5.278 -3.265 -0.801
-3.544 -5.102 1.879
H Ni Se
2 2 4
Cartesian
1.128 -3.272 -0.506
4.533 -4.207 -1.371
0.450 -6.767 -0.790
-1.680 -4.528 1.077
-2.803 -4.021 -1.008
1.328 -7.951 1.055
0.611 -4.563 0.268
-1.755 -6.782 0.119
```

## Properties
SG ... P1
ΔE to the lowest computed polymorph ... 0.0384 eV/atom
Magnetization ... 0.000 μB/f.u.
Crystal system ... triclinic
ρ ... 5.04 Mg/m³
V ... 71.7 Å³/f.u.
Energy ... -32.960 eV per cell


No. 12
LaNiRh2: relaxed, PBE-GGA.

```
LaNiRh2
1.0
-3.021 3.144 1.500
-4.309 -1.260 1.052
-1.380 -0.044 4.399
Rh Ni La
2 1 1
Cartesian
-2.177 0.460 1.738
0.000 0.000 0.000
-6.532 1.380 5.214
-4.355 0.920 3.476
```

## Properties
SG ... F-43m
ΔE to the lowest computed polymorph ... 0.3831 eV/atom
Magnetization ... 0.020 μB/f.u.
Energy of formation from the pure elements ... -0.13 eV per atom
Crystal system ... cubic
ρ ... 9.66 Mg/m³
V ... 69.3 Å³/f.u.
Energy ... -25.924 eV per cell


No. 13
ZnFePt14: relaxed, PBE-GGA.

```
ZnFePt14
1.0
-0.694 -0.270 -5.509
5.023 -0.934 2.192
-1.968 -8.972 0.687
Zn Pt Fe
1 14 1
Cartesian
0.919 -5.057 -1.667
-1.455 -7.031 -4.048
1.090 -7.445 -2.936
1.000 -0.466 -3.227
3.508 -0.933 -2.135
3.414 -5.522 -0.592
3.860 -0.799 0.625
2.378 -2.950 -0.528
-1.081 -6.841 -1.271
-0.144 -2.566 -1.599
1.344 -0.331 -0.476
2.028 -3.170 -3.263
1.251 -4.921 1.066
1.404 -7.391 -0.188
-0.492 -2.644 -4.384
3.796 -5.392 2.209
```

## Properties
SG ... Amm2
Magnetization ... 5.122 μB/f.u.
Energy of formation from the pure elements ... -0.11 eV per atom
Crystal system ... orthorhombic
ρ ... 19.16 Mg/m³
V ... 247.3 Å³/f.u.
Energy ... -96.002 eV per cell


No. 14
Dy2Si3HgPt4: relaxed, PBE-GGA.

```
Dy2Si3HgPt4
1.0
-0.931 2.383 3.232
0.984 -3.081 2.555
10.268 3.556 0.336
Pt Dy Si Hg
4 2 3 1
Cartesian
3.940 -0.346 1.390
6.354 3.553 1.839
0.026 -0.349 2.894
0.000 0.000 0.000
2.047 2.062 1.698
8.247 1.145 1.531
1.771 -1.098 1.320
8.523 4.305 1.910
5.134 1.778 0.168
5.160 1.429 3.062
```

## Properties
SG ... P-4m2
Magnetization ... 0.000 μB/f.u.
Crystal system ... tetragonal
Uncorrected formation energy ... -892 meV per atom
ρ ... 12.50 Mg/m³
V ... 184.7 Å³/f.u.
Energy ... -58.854 eV per cell


No. 15
RuSN2Cl: relaxed, PBE-GGA.

```
RuSN2Cl
1.0
3.758 0.000 0.000
0.000 3.758 0.000
0.000 0.000 5.299
N Ru S Cl
2 1 1 1
Cartesian
0.000 1.879 0.000
1.879 0.000 0.000
0.000 0.000 0.000
0.000 0.000 2.650
1.879 1.879 2.650
```

## Properties
SG ... P4/mmm
ΔE to the lowest computed polymorph ... 0.0000 eV/atom
Magnetization ... 0.004 μB/f.u.
Crystal system ... tetragonal
Uncorrected formation energy ... 920 meV per atom
ρ ... 4.36 Mg/m³
V ... 74.8 Å³/f.u.
Energy ... -27.301 eV per cell


No. 16
La2Tb2Tm: relaxed, PBE-GGA.

```
La2Tb2Tm
1.0
-1.577 6.149 0.813
-2.529 -4.568 4.457
8.832 1.935 2.493
La Tm Tb
4 2 4
Cartesian
3.901 2.715 3.826
-1.041 3.795 2.850
0.826 0.800 3.938
5.767 -0.280 4.914
5.570 5.564 2.414
1.686 2.520 0.893
-2.744 0.954 4.314
7.470 2.561 3.450
2.727 -2.193 5.016
1.999 5.708 2.748
```

## Properties
SG ... C2/c
ΔE to the lowest computed polymorph ... 0.0000 eV/atom
Magnetization ... 0.000 μB/f.u.
Energy of formation from the pure elements ... 0.04 eV per atom
Crystal system ... monoclinic
ρ ... 7.44 Mg/m³
V ... 170.6 Å³/f.u.
Energy ... -46.814 eV per cell


No. 17
LiSmPa2Se4: relaxed, PBE-GGA.

```
LiSmPa2Se4
1.0
-3.778 0.559 -1.016
-0.210 -6.271 -2.670
-1.997 -0.495 7.152
Li Se Sm Pa
1 4 1 2
Cartesian
-1.994 -2.856 -1.843
-2.428 -1.473 0.533
-3.556 -4.734 2.933
-1.577 -2.035 4.744
-0.630 -4.730 -0.262
0.000 0.000 0.000
-1.104 -3.383 2.241
-2.887 0.032 3.068
```

## Properties
SG ... P2/m
Magnetization ... 2.434 μB/f.u.
Crystal system ... monoclinic
Uncorrected formation energy ... -1386 meV per atom
ρ ... 8.14 Mg/m³
V ... 190.9 Å³/f.u.
Energy ... -50.648 eV per cell


No. 18
Pm2ScPb4: relaxed, PBE-GGA.

```
Pm2ScPb4
1.0
-2.851 5.492 0.958
-0.261 -1.252 6.402
10.395 1.835 0.782
Pb Pm Sc
8 4 2
Cartesian
0.799 2.828 7.214
3.136 5.514 2.871
8.911 1.123 5.576
-1.628 4.952 2.567
6.357 2.632 4.073
4.147 0.561 5.272
0.927 3.443 4.069
6.485 3.247 0.928
-0.968 1.681 1.954
8.252 4.394 6.188
3.879 4.090 5.951
3.405 1.985 2.191
1.184 0.615 5.162
6.100 5.460 2.981
```

## Properties
SG ... P2_1/m
Magnetization ... 0.004 μB/f.u.
Energy of formation from the pure elements ... -0.28 eV per atom
Crystal system ... monoclinic
ρ ... 9.32 Mg/m³
V ... 207.5 Å³/f.u.
Energy ... -65.264 eV per cell


No. 19
LaY: relaxed, PBE-GGA.

```
LaY
1.0
2.864 -4.961 0.000
2.864 4.961 0.000
0.000 0.000 10.226
La Y
4 4
Cartesian
2.864 -1.654 9.381
2.864 1.654 0.845
2.864 -1.654 5.958
2.864 1.654 4.268
2.864 -1.654 2.556
0.000 0.000 2.556
2.864 1.654 7.669
0.000 0.000 7.669
```

## Properties
SG ... P6_3/mmc
ΔE to the lowest computed polymorph ... 0.2210 eV/atom
Magnetization ... 0.000 μB/f.u.
Energy of formation from the pure elements ... 0.23 eV per atom
Crystal system ... hexagonal
ρ ... 5.21 Mg/m³
V ... 72.7 Å³/f.u.
Energy ... -43.764 eV per cell


No. 20
Tc5Au: relaxed, PBE-GGA.

```
Tc5Au
1.0
1.506 -4.870 -0.224
-0.791 -3.100 3.974
-3.466 -3.730 -0.324
Au Tc
1 5
Cartesian
0.000 0.000 0.000
-2.774 -6.255 1.119
-1.029 -4.378 1.282
-0.271 -6.829 1.169
-1.427 -5.938 3.283
-2.063 -8.775 2.570
```

## Properties
SG ... F-43m
ΔE to the lowest computed polymorph ... 0.2736 eV/atom
Magnetization ... 0.000 μB/f.u.
Energy of formation from the pure elements ... 0.37 eV per atom
Crystal system ... cubic
ρ ... 12.15 Mg/m³
V ... 93.9 Å³/f.u.
Energy ... -52.860 eV per cell